# 1
The following is a DFT calculation (PBE) of a relaxed BSbSeI2 crystal.

Cell lengths 5.8483, 5.8483, 5.4347 Å; angles 90.00, 90.00, 90.00 degrees
Sites, in units of the cell vectors:
I 0.5000 0.0000 0.0000
I 0.0000 0.5000 0.0000
B 0.5000 0.5000 0.5000
Se 0.0000 0.0000 0.0000
Sb 0.0000 0.0000 0.5000

- Polymorph energy (0 for the lowest one): 48.3 kJ/mol of atoms
- Uncorrected formation energy: 1.37 eV per atom


# 2
The following is a DFT calculation (PBE) of a relaxed Cu3AsO crystal.

Cell lengths 4.4752, 4.4752, 4.4752 Å; angles 90.00, 90.00, 90.00 degrees
Sites, in units of the cell vectors:
Cu 0.0000 0.0000 0.5000
Cu 0.5000 0.0000 0.0000
As 0.0000 0.0000 0.0000
Cu 0.0000 0.5000 0.0000
O 0.5000 0.5000 0.5000

- Polymorph energy (0 for the lowest one): 73.8 kJ/mol of atoms
- Uncorrected formation energy: 0.80 eV per atom


# 3
The following is a DFT calculation (PBE) of a relaxed TbDy2Ho6Sc3 crystal.

Cell lengths 6.0188, 6.0188, 11.4288 Å; angles 95.03, 95.03, 119.96 degrees
Sites, in units of the cell vectors:
Ho 0.0866 0.4200 0.2591
Ho 0.9134 0.5800 0.7409
Ho 0.4200 0.0866 0.2591
Ho 0.2468 0.2468 0.7408
Sc 0.1668 0.8332 0.5000
Ho 0.7532 0.7532 0.2592
Ho 0.5800 0.9134 0.7409
Sc 0.5000 0.5000 0.5000
Dy 0.3334 0.6666 0.0000
Tb 0.0000 0.0000 0.0000
Sc 0.8332 0.1668 0.5000
Dy 0.6666 0.3334 0.0000

- Calculated total energy: -59.78 eV/cell


# 4
The following is a DFT calculation (PBE) of a relaxed CaZr2Si2 crystal.

Cell lengths 7.3927, 7.3927, 3.6970 Å; angles 90.00, 90.00, 90.00 degrees
Sites, in units of the cell vectors:
Si 0.3794 0.8794 0.0000
Zr 0.3308 0.1692 0.5000
Zr 0.1692 0.6692 0.5000
Si 0.8794 0.6206 0.0000
Zr 0.6692 0.8308 0.5000
Si 0.1206 0.3794 0.0000
Si 0.6206 0.1206 0.0000
Ca 0.5000 0.5000 0.0000
Ca 0.0000 0.0000 0.0000
Zr 0.8308 0.3308 0.5000

- Polymorph energy (0 for the lowest one): 0.0 kJ/mol of atoms
- Uncorrected formation energy: -0.54 eV per atom


# 5
The following is a DFT calculation (PBE) of a relaxed Tb5Ho5Tm crystal.

Cell lengths 6.8182, 9.4369, 7.8188 Å; angles 114.63, 55.03, 119.39 degrees
Sites, in units of the cell vectors:
Tb 0.2329 0.3639 0.3109
Tb 0.1555 0.3630 0.8555
Tb 0.7671 0.6361 0.6891
Ho 0.6470 0.2755 0.3512
Tb 0.5000 0.0000 0.0000
Ho 0.6492 0.2710 0.7707
Ho 0.3508 0.7290 0.2293
Tm 0.0000 0.0000 0.0000
Ho 0.0000 0.0000 0.5000
Tb 0.8445 0.6370 0.1445
Ho 0.3530 0.7245 0.6488

- Polymorph energy (0 for the lowest one): 0.0 kJ/mol of atoms


# 6
The following is a DFT calculation (PBE) of a relaxed DyTmPt4 crystal.

Cell lengths 5.4213, 5.4213, 5.4213 Å; angles 60.00, 60.00, 60.00 degrees
Sites, in units of the cell vectors:
Tm 0.0000 0.0000 0.0000
Pt 0.6251 0.6251 0.6251
Pt 0.1246 0.6251 0.6251
Dy 0.2500 0.2500 0.2500
Pt 0.6251 0.1246 0.6251
Pt 0.6251 0.6251 0.1246

- Polymorph energy (0 for the lowest one): 0.0 kJ/mol of atoms


# 7
The following is a DFT calculation (PBE) of a relaxed Dy2Y2TmSc crystal.

Cell lengths 3.3168, 6.4638, 17.3080 Å; angles 90.00, 90.00, 90.00 degrees
Sites, in units of the cell vectors:
Sc 0.0000 0.0000 0.0000
Y 0.0000 0.2466 0.8189
Dy 0.0000 0.2554 0.1450
Tm 0.5000 0.5000 0.0000
Y 0.5000 0.2534 0.3189
Dy 0.5000 0.2446 0.6450
Tm 0.0000 0.0000 0.5000
Dy 0.5000 0.7554 0.3550
Y 0.5000 0.7466 0.6811
Dy 0.0000 0.7446 0.8550
Sc 0.5000 0.5000 0.5000
Y 0.0000 0.7534 0.1811

- Calculated total energy: -62.60 eV/cell


# 8
The following is a DFT calculation (PBE) of a relaxed Sr4Sb2As2Pd crystal.

Cell lengths 6.4134, 6.5527, 6.5527 Å; angles 84.68, 88.03, 88.03 degrees
Sites, in units of the cell vectors:
As 0.1317 0.0999 0.0999
As 0.8683 0.9001 0.9001
Pd 0.5000 0.0000 0.0000
Sr 0.7625 0.3952 0.8794
Sr 0.7625 0.8794 0.3952
Sr 0.2375 0.1206 0.6048
Sb 0.3347 0.6127 0.6127
Sr 0.2375 0.6048 0.1206
Sb 0.6653 0.3873 0.3873

- Uncorrected formation energy: -0.88 eV per atom


# 9
The following is a DFT calculation (PBE) of a relaxed Tb2PmNd crystal.

Cell lengths 3.6311, 3.6311, 11.8935 Å; angles 81.22, 81.22, 60.00 degrees
Sites, in units of the cell vectors:
Tb 0.0832 0.0832 0.7504
Nd 0.6666 0.6666 0.0001
Pm 0.5004 0.5004 0.4989
Tb 0.2498 0.2498 0.2506

- Polymorph energy (0 for the lowest one): 0.2 kJ/mol of atoms


# 10
The following is a DFT calculation (PBE) of a relaxed CsAg2IBr2 crystal.

Cell lengths 6.1339, 8.4007, 9.3810 Å; angles 108.50, 90.00, 90.00 degrees
Sites, in units of the cell vectors:
Br 0.7500 0.8787 0.5997
I 0.2500 0.1915 0.9183
I 0.7500 0.8085 0.0817
Br 0.7500 0.4067 0.2650
Ag 0.5006 0.1205 0.1578
Ag 0.9994 0.1205 0.1578
Ag 0.4994 0.8795 0.8422
Br 0.2500 0.1213 0.4003
Br 0.2500 0.5933 0.7350
Cs 0.2500 0.6740 0.3689
Cs 0.7500 0.3260 0.6311
Ag 0.0006 0.8795 0.8422

- Uncorrected formation energy: -0.80 eV per atom


# 11
The following is a DFT calculation (PBE) of a relaxed K2ZnSb2 crystal.

Cell lengths 7.5117, 7.5117, 5.7419 Å; angles 90.00, 90.00, 90.00 degrees
Sites, in units of the cell vectors:
Sb 0.6413 0.1413 0.0000
K 0.1663 0.6663 0.5000
Sb 0.3587 0.8587 0.0000
Zn 0.5000 0.5000 0.0000
Zn 0.0000 0.0000 0.0000
Sb 0.1413 0.3587 0.0000
K 0.8337 0.3337 0.5000
Sb 0.8587 0.6413 0.0000
K 0.6663 0.8337 0.5000
K 0.3337 0.1663 0.5000

- Polymorph energy (0 for the lowest one): 5.2 kJ/mol of atoms
- Uncorrected formation energy: -0.27 eV per atom


# 12
The following is a DFT calculation (PBE) of a relaxed CdOs crystal.

Cell lengths 3.8595, 3.8595, 3.8595 Å; angles 60.00, 60.00, 60.00 degrees
Last column: magnetic moment on the atom in μB.
Sites, in units of the cell vectors:
Cd 0.0000 0.0000 0.0000  -0.02
Os 0.5000 0.5000 0.5000  1.83

- Calculated total energy: -8.53 eV/cell


# 13
The following is a DFT calculation (PBE) of a relaxed HoErInOs crystal.

Cell lengths 3.3627, 3.3627, 8.2572 Å; angles 90.00, 90.00, 90.00 degrees
Sites, in units of the cell vectors:
Os 0.0000 0.0000 0.5698
Er 0.5000 0.5000 0.3696
In 0.0000 0.0000 0.0726
Ho 0.5000 0.5000 0.7728

- Polymorph energy (0 for the lowest one): 0.0 kJ/mol of atoms


# 14
The following is a DFT calculation (PBE) of a relaxed LiPmAl2Au4 crystal.

Cell lengths 4.4758, 4.4758, 8.9636 Å; angles 75.54, 75.54, 60.00 degrees
Sites, in units of the cell vectors:
Au 0.1328 0.1328 0.6015
Li 0.5000 0.5000 0.5000
Al 0.7607 0.7607 0.7179
Pm 0.0000 0.0000 0.0000
Au 0.8672 0.8672 0.3985
Au 0.3991 0.3991 0.8027
Al 0.2393 0.2393 0.2821
Au 0.6009 0.6009 0.1973

- Calculated total energy: -32.37 eV/cell


# 15
The following is a DFT calculation (PBE) of a relaxed Tb2CuSe2O2 crystal.

Cell lengths 3.8361, 3.8361, 11.3902 Å; angles 90.00, 90.00, 120.00 degrees
Sites, in units of the cell vectors:
O 0.3333 0.6667 0.4233
Tb 0.3333 0.6667 0.6279
Se 0.0000 0.0000 0.1956
O 0.6667 0.3333 0.5767
Se 0.0000 0.0000 0.8044
Cu 0.0000 0.0000 0.0000
Tb 0.6667 0.3333 0.3721

- Uncorrected formation energy: -2.07 eV per atom


# 16
The following is a DFT calculation (PBE) of a relaxed CaLa14Sm crystal.

Cell lengths 7.4641, 7.4641, 10.5543 Å; angles 90.00, 90.00, 90.00 degrees
Sites, in units of the cell vectors:
La 0.3750 0.3750 0.0000
Sm 0.3750 0.3750 0.5000
La 0.6199 0.6199 0.7530
La 0.1301 0.1301 0.2470
La 0.1301 0.1301 0.7530
La 0.3750 0.8750 0.5000
La 0.6200 0.1301 0.7530
Ca 0.8750 0.8750 0.5000
La 0.8750 0.8750 0.0000
La 0.1301 0.6200 0.7530
La 0.6200 0.1301 0.2470
La 0.8750 0.3750 0.5000
La 0.1301 0.6200 0.2470
La 0.8750 0.3750 0.0000
La 0.6199 0.6199 0.2470
La 0.3750 0.8750 0.0000

- Calculated total energy: -75.47 eV/cell


# 17
The following is a DFT calculation (PBE) of a relaxed Sb2AsPt crystal.

Cell lengths 3.8948, 7.0057, 5.6195 Å; angles 35.96, 90.00, 90.00 degrees
Sites, in units of the cell vectors:
Sb 0.0000 0.0000 0.0000
As 0.5000 0.5000 0.5000
Sb 0.5000 0.5000 0.0000
Pt 0.0000 0.0000 0.5000

- Uncorrected formation energy: -0.13 eV per atom


# 18
The following is a DFT calculation (PBE) of a relaxed NaLaCdTe3 crystal.

Cell lengths 4.4181, 9.1583, 10.3229 Å; angles 102.94, 90.00, 90.00 degrees
Sites, in units of the cell vectors:
Te 0.7500 0.2353 0.4990
La 0.2500 0.1991 0.2255
Cd 0.2500 0.1015 0.6119
Te 0.7500 0.9260 0.1229
Te 0.2500 0.5746 0.8187
Te 0.2500 0.0740 0.8771
Te 0.7500 0.4254 0.1813
Cd 0.7500 0.8985 0.3881
Na 0.7500 0.3459 0.8714
Te 0.2500 0.7647 0.5010
La 0.7500 0.8009 0.7745
Na 0.2500 0.6541 0.1286

- Uncorrected formation energy: -0.98 eV per atom


# 19
The following is a DFT calculation (PBE) of a relaxed Gd2TlO crystal.

Cell lengths 3.1856, 3.1856, 7.9980 Å; angles 90.00, 90.00, 90.00 degrees
Last column: magnetic moment on the atom in μB.
Sites, in units of the cell vectors:
Tl 0.5000 0.5000 0.5000  -0.01
O 0.5000 0.5000 0.0000  -0.03
Gd 0.0000 0.0000 0.8051  7.41
Gd 0.0000 0.0000 0.1949  7.41

- Polymorph energy (0 for the lowest one): 38.2 kJ/mol of atoms
- Uncorrected formation energy: -1.13 eV per atom


# 20
The following is a DFT calculation (PBE) of a relaxed Cs2CaCI6 crystal.

Cell lengths 8.2815, 8.2815, 8.2827 Å; angles 60.00, 60.00, 90.00 degrees
Sites, in units of the cell vectors:
I 0.7320 0.7320 0.0000
I 0.2681 0.2681 0.4637
Ca 0.0000 0.0000 0.0000
I 0.2680 0.2680 0.0000
I 0.7319 0.7319 0.5363
Cs 0.7500 0.2500 0.5000
C 0.5000 0.5000 0.0000
I 0.7320 0.2680 0.0000
Cs 0.2500 0.7500 0.5000
I 0.2680 0.7320 0.0000

- Uncorrected formation energy: -0.56 eV per atom